Record 1
VASP calculation (SCAN) on a PBEsol-optimized structure of MnCo.

Cell: 2.435 3.860 4.253 Å, 90.00 90.00 90.00°
Fractional positions:
1 Co 0.500 0.500 0.421
2 Co 0.000 0.000 0.579
3 Mn 0.500 0.000 0.088
4 Mn 0.000 0.500 0.912

## Properties
Calculated total energy ... -17.537 eV per atom

Record 2
VASP calculation (SCAN) on a PBEsol-optimized structure of CrP2Au.

Cell: 3.234 4.213 4.213 Å, 90.00 90.00 90.00°
Fractional positions:
1 Cr 0.500 0.000 0.000
2 Au 0.500 0.500 0.500
3 P 0.000 0.500 0.000
4 P 0.000 0.000 0.500

## Properties
Energy relative to the lowest polymorph listed for this composition ... 0.171 eV/atom

Record 3
VASP calculation (SCAN) on a PBEsol-optimized structure of KMg2Al2.

Cell: 2.927 8.993 8.993 Å, 90.00 90.00 90.00°
Fractional positions:
1 Mg 0.500 0.363 0.137
2 Mg 0.500 0.137 0.637
3 Mg 0.500 0.637 0.863
4 Mg 0.500 0.863 0.363
5 Al 0.000 0.654 0.154
6 Al 0.000 0.154 0.346
7 Al 0.000 0.346 0.846
8 Al 0.000 0.846 0.654
9 K 0.000 0.500 0.500
10 K 0.000 0.000 0.000

## Properties
Calculated total energy ... -6.651 eV per atom

Record 4
VASP calculation (SCAN) on a PBEsol-optimized structure of ZrFe3Au.

Cell: 4.609 4.609 4.609 Å, 90.00 90.00 90.00°
Fractional positions:
1 Au 0.000 0.000 0.000
2 Fe 0.000 0.500 0.000
3 Fe 0.000 0.000 0.500
4 Fe 0.500 0.000 0.000
5 Zr 0.500 0.500 0.500

## Properties
Energy relative to the lowest polymorph listed for this composition ... 0.000 eV/atom

Record 5
VASP calculation (SCAN) on a PBEsol-optimized structure of Zn2AsSe.

Cell: 4.600 4.600 4.600 Å, 60.00 60.00 60.00°
Fractional positions:
1 Zn 0.250 0.250 0.250
2 Zn 0.750 0.750 0.750
3 As 0.000 0.000 0.000
4 Se 0.500 0.500 0.500

## Properties
ΔE_f (raw) ... 0.34 eV per atom

Record 6
VASP calculation (SCAN) on a PBEsol-optimized structure of TlGaP2.

Cell: 5.723 5.723 6.957 Å, 114.29 114.29 90.00°
Fractional positions:
1 Ga 0.500 0.500 0.000
2 Ga 0.750 0.250 0.500
3 Tl 0.250 0.750 0.500
4 Tl 0.000 0.000 0.000
5 P 0.125 0.159 0.750
6 P 0.841 0.375 0.250
7 P 0.409 0.875 0.250
8 P 0.625 0.591 0.750

## Properties
Calculated total energy ... -27.506 eV per atom

Record 7
VASP calculation (SCAN) on a PBEsol-optimized structure of LaCeNiPt.

Cell: 3.764 4.284 5.827 Å, 90.00 108.84 90.00°
Fractional positions:
1 La 0.861 0.500 0.722
2 Pt 0.589 0.500 0.177
3 Ce 0.127 0.000 0.254
4 Ni 0.423 0.000 0.847

## Properties
Calculated total energy ... -44.303 eV per atom

Record 8
VASP calculation (SCAN) on a PBEsol-optimized structure of LaEuPd2.

Cell: 5.055 5.055 5.055 Å, 60.00 60.00 60.00°
Fractional positions:
1 Eu 0.500 0.500 0.500
2 Pd 0.750 0.750 0.750
3 Pd 0.250 0.250 0.250
4 La 0.000 0.000 0.000

## Properties
Calculated total energy ... -41.376 eV per atom

Record 9
VASP calculation (SCAN) on a PBEsol-optimized structure of TaZnAu.

Cell: 2.874 2.874 6.829 Å, 90.00 90.00 120.00°
Fractional positions:
1 Ta 0.333 0.667 0.664
2 Zn 0.667 0.333 0.328
3 Au 0.000 0.000 0.007

## Properties
Calculated total energy ... -49.732 eV per atom

Record 10
VASP calculation (SCAN) on a PBEsol-optimized structure of CrPbI3.

Cell: 5.442 5.442 5.442 Å, 90.00 90.00 90.00°
Fractional positions:
1 I 0.000 0.500 0.000
2 I 0.000 0.000 0.500
3 I 0.500 0.000 0.000
4 Cr 0.000 0.000 0.000
5 Pb 0.500 0.500 0.500

## Properties
ΔE_f (raw) ... -0.21 eV per atom

| no. | size of the total moment (Bohr magnetons per cell) |
| --- | --- |
| 1 | 1.1 |
| 2 | 3.1 |
| 3 | 0.1 |
| 4 | 7.9 |
| 5 | 0.0 |
| 6 | 0.0 |
| 7 | 0.6 |
| 8 | 7.2 |
| 9 | 0.0 |
| 10 | 5.0 |